# 1
NaAcIrPb GGA-PBE relaxed; electronic total energy = -4.638 eV per atom; symmetry = F-43m; density of states at the Fermi level = 1.48 states/eV per atom
1.0
5.176 0.000 0.000
2.588 4.482 0.000
2.588 1.494 4.226
Pb Na Ac Ir
1 1 1 1
Direct
0.750 0.750 0.750
0.500 0.500 0.500
0.250 0.250 0.250
0.000 0.000 0.000

***

# 2
ZnAs2Rh GGA-PBE relaxed; electronic total energy = -4.634 eV per atom; symmetry = Pm; density of states at the Fermi level = 0.50 states/eV per atom
1.0
4.663 0.000 0.000
0.000 4.412 -0.005
0.000 2.498 3.683
As Rh Zn
2 1 1
Direct
0.000 0.867 0.872
0.500 0.390 0.385
0.000 0.539 0.537
0.500 0.704 0.706

***

# 3
CaMnCr2 GGA-PBE relaxed; energy above the lowest structure with this stoichiometry = 0.252 eV per atom; symmetry = Immm; density of states at the Fermi level = 0.63 states/eV per atom
1.0
4.752 -0.779 -0.504
1.419 4.602 0.504
-2.516 -2.831 3.016
Cr Ca Mn
2 1 1
Direct
0.967 0.967 0.000
0.533 0.533 0.000
0.250 0.750 0.500
0.750 0.250 0.500

***

# 4
Ac2SiGeRu GGA-PBE relaxed; symmetry = P4/nmm; density of states at the Fermi level = 0.79 states/eV per atom; formation energy (no corrections) = -3.23 eV per formula unit
1.0
-3.564 -2.516 0.648
2.416 -2.806 2.396
-3.175 7.625 12.130
Ac Si Ge Ru
4 2 2 2
Direct
0.000 0.500 0.664
0.000 0.500 0.106
0.500 0.000 0.894
0.500 0.000 0.336
0.500 0.000 0.574
0.000 0.500 0.426
0.500 0.000 0.121
0.000 0.500 0.879
0.000 0.000 0.500
0.500 0.500 0.500

***

# 5
Cs2In2Bi2H GGA-PBE relaxed; electronic total energy = -2.834 eV per atom; symmetry = C2/m; density of states at the Fermi level = 0.36 states/eV per atom
1.0
-2.082 -0.005 -4.512
-0.789 -7.020 -2.365
-7.676 -2.053 0.808
Cs In Bi H
2 2 2 1
Direct
0.556 0.188 0.700
0.444 0.812 0.300
0.178 0.714 0.930
0.822 0.286 0.070
0.177 0.373 0.272
0.823 0.627 0.728
0.000 0.000 0.000

***

# 6
Sm3AlGa3 GGA-PBE relaxed; electronic total energy = -4.454 eV per atom; symmetry = C2/m; density of states at the Fermi level = 0.86 states/eV per atom
1.0
4.373 0.000 0.659
2.154 5.573 0.543
0.168 0.090 13.726
Sm Al Ga
6 2 6
Direct
0.520 0.337 0.622
0.480 0.663 0.378
0.260 0.256 0.224
0.740 0.744 0.776
0.394 0.289 0.924
0.606 0.711 0.076
0.765 0.075 0.394
0.235 0.925 0.606
0.866 0.723 0.544
0.134 0.277 0.456
0.108 0.859 0.925
0.892 0.141 0.075
0.970 0.830 0.230
0.030 0.170 0.770

***

# 7
Gd3As5Se12 GGA-PBE relaxed; symmetry = Ia-3d; density of states at the Fermi level = 0.05 states/eV per atom; formation energy (no corrections) = -13.18 eV per formula unit
1.0
-8.531 -10.623 -3.866
13.462 -4.384 -0.366
-3.264 4.131 13.148
Gd As Se
12 20 48
Direct
0.750 0.375 0.125
0.875 0.750 0.125
0.375 0.750 0.625
0.250 0.125 0.375
0.875 0.125 0.250
0.375 0.625 0.250
0.625 0.375 0.750
0.125 0.875 0.750
0.750 0.875 0.625
0.625 0.250 0.375
0.125 0.250 0.875
0.250 0.625 0.875
0.125 0.375 0.250
0.000 0.500 0.000
0.000 0.000 0.000
0.375 0.250 0.125
0.500 0.000 0.500
0.500 0.500 0.000
0.125 0.750 0.375
0.750 0.125 0.875
0.750 0.625 0.375
0.375 0.125 0.750
0.625 0.875 0.250
0.500 0.500 0.500
0.500 0.000 0.000
0.000 0.000 0.500
0.250 0.375 0.625
0.250 0.875 0.125
0.000 0.500 0.500
0.875 0.250 0.625
0.625 0.750 0.875
0.875 0.625 0.750
0.714 0.131 0.043
0.329 0.543 0.412
0.957 0.369 0.286
0.543 0.214 0.131
0.583 0.714 0.671
0.957 0.588 0.171
0.329 0.786 0.417
0.088 0.917 0.131
0.588 0.957 0.671
0.714 0.583 0.171
0.786 0.457 0.369
0.829 0.912 0.043
0.131 0.714 0.543
0.369 0.412 0.083
0.083 0.912 0.369
0.417 0.131 0.588
0.083 0.171 0.214
0.457 0.671 0.088
0.829 0.917 0.286
0.131 0.417 0.088
0.369 0.957 0.786
0.588 0.631 0.417
0.912 0.829 0.543
0.786 0.329 0.917
0.412 0.369 0.583
0.088 0.171 0.457
0.214 0.671 0.083
0.171 0.083 0.714
0.631 0.043 0.214
0.869 0.583 0.912
0.543 0.329 0.912
0.583 0.869 0.412
0.917 0.829 0.786
0.917 0.088 0.631
0.869 0.286 0.457
0.171 0.088 0.957
0.631 0.588 0.917
0.412 0.043 0.329
0.286 0.417 0.829
0.214 0.543 0.631
0.912 0.083 0.869
0.671 0.214 0.583
0.457 0.786 0.869
0.043 0.412 0.829
0.417 0.286 0.329
0.043 0.631 0.714
0.671 0.457 0.588
0.286 0.869 0.957

***

# 8
RbCu2HF GGA-PBE relaxed; electronic total energy = -1.945 eV per atom; symmetry = P4/mmm; density of states at the Fermi level = 0.41 states/eV per atom
1.0
-4.814 -1.557 -3.109
2.060 -4.377 -0.997
-2.441 -2.268 4.916
H Cu Rb F
1 2 1 1
Direct
0.500 0.500 0.500
0.000 0.000 0.500
0.500 0.000 0.000
0.000 0.000 0.000
0.000 0.500 0.000